Li2CrO3 after structural relaxation, computed with GGA+U.

Summary:
Energy in eV/atom: -6.212

Lattice parameters (Å, degrees): 9.607 5.614 4.978 90.00 90.00 90.00
Space group Cmc2_1 (No. 36)
Unique sites:
Li  0.170  0.165  0.000
Cr  0.000  0.322  0.496
O  0.000  0.363  0.871
O  0.153  0.176  0.400